[1]
Ba4NF6 after structural relaxation, computed with GGA-PBE.

Cell: 8.9004 8.9004 6.3516 Å, 90.00 90.00 90.00°
Closest atoms and distances in Å follow each position.
Sites, in units of the cell vectors:
Ba 0.0074 0.2500 0.0358  6 F 2.65-2.81, 1 N 2.66
Ba 0.2500 0.0074 0.5358  6 F 2.65-2.81, 1 N 2.66
Ba 0.2500 0.4926 0.5358  6 F 2.65-2.81, 1 N 2.66
Ba 0.4926 0.2500 0.0358  6 F 2.65-2.81, 1 N 2.66
Ba 0.5074 0.7500 0.9642  6 F 2.65-2.81, 1 N 2.66
Ba 0.7500 0.5074 0.4642  6 F 2.65-2.81, 1 N 2.66
Ba 0.7500 0.9926 0.4642  6 F 2.65-2.81, 1 N 2.66
Ba 0.9926 0.7500 0.9642  6 F 2.65-2.81, 1 N 2.66
N 0.2500 0.7500 0.7500  4 Ba 2.66
N 0.7500 0.2500 0.2500  4 Ba 2.66
F 0.0260 0.5260 0.2500  4 Ba 2.71-2.81
F 0.0260 0.9740 0.2500  4 Ba 2.71-2.81
F 0.2500 0.2500 0.2776  4 Ba 2.65-2.71
F 0.2500 0.2500 0.7776  4 Ba 2.65-2.71
F 0.4740 0.5260 0.2500  4 Ba 2.71-2.81
F 0.4740 0.9740 0.2500  4 Ba 2.71-2.81
F 0.5260 0.0260 0.7500  4 Ba 2.71-2.81
F 0.5260 0.4740 0.7500  4 Ba 2.71-2.81
F 0.7500 0.7500 0.2224  4 Ba 2.65-2.71
F 0.7500 0.7500 0.7224  4 Ba 2.65-2.71
F 0.9740 0.0260 0.7500  4 Ba 2.71-2.81
F 0.9740 0.4740 0.7500  4 Ba 2.71-2.81

## Properties
As for the energy relative to the elements, uncorrected: -3.10 eV/atom.

=====

[2]
Ba12N5F3 after structural relaxation, computed with GGA-PBE.

Cell: 15.0153 15.0153 15.0153 Å, 109.47 109.47 109.47°
Closest atoms and distances in Å follow each position.
Sites, in units of the cell vectors:
Ba 0.0225 0.2002 0.1283  2 N 2.55-2.81
Ba 0.0225 0.3223 0.8942  2 N 2.55-2.81
Ba 0.0719 0.7002 0.6777  2 N 2.55-2.81
Ba 0.0719 0.8717 0.3942  2 N 2.55-2.81
Ba 0.1058 0.6283 0.4281  2 N 2.55-2.81
Ba 0.1058 0.9775 0.6777  2 N 2.55-2.81
Ba 0.1283 0.0225 0.2002  2 N 2.55-2.81
Ba 0.1283 0.6058 0.9281  2 N 2.55-2.81
Ba 0.1777 0.2002 0.5719  2 N 2.55-2.81
Ba 0.1777 0.4775 0.6058  2 N 2.55-2.81
Ba 0.2002 0.1283 0.0225  2 N 2.55-2.81
Ba 0.2002 0.5719 0.1777  2 N 2.55-2.81
Ba 0.2998 0.3223 0.9281  2 N 2.55-2.81
Ba 0.2998 0.4775 0.3717  2 N 2.55-2.81
Ba 0.3223 0.8942 0.0225  2 N 2.55-2.81
Ba 0.3223 0.9281 0.2998  2 N 2.55-2.81
Ba 0.3717 0.2998 0.4775  2 N 2.55-2.81
Ba 0.3717 0.5719 0.8942  2 N 2.55-2.81
Ba 0.3942 0.0719 0.8717  2 N 2.55-2.81
Ba 0.3942 0.8223 0.5225  2 N 2.55-2.81
Ba 0.4281 0.1058 0.6283  2 N 2.55-2.81
Ba 0.4281 0.8223 0.7998  2 N 2.55-2.81
Ba 0.4775 0.3717 0.2998  2 N 2.55-2.81
Ba 0.4775 0.6058 0.1777  2 N 2.55-2.81
Ba 0.5225 0.3942 0.8223  2 N 2.55-2.81
Ba 0.5225 0.6283 0.7002  2 N 2.55-2.81
Ba 0.5719 0.1777 0.2002  2 N 2.55-2.81
Ba 0.5719 0.8942 0.3717  2 N 2.55-2.81
Ba 0.6058 0.1777 0.4775  2 N 2.55-2.81
Ba 0.6058 0.9281 0.1283  2 N 2.55-2.81
Ba 0.6283 0.4281 0.1058  2 N 2.55-2.81
Ba 0.6283 0.7002 0.5225  2 N 2.55-2.81
Ba 0.6777 0.0719 0.7002  2 N 2.55-2.81
Ba 0.6777 0.1058 0.9775  2 N 2.55-2.81
Ba 0.7002 0.5225 0.6283  2 N 2.55-2.81
Ba 0.7002 0.6777 0.0719  2 N 2.55-2.81
Ba 0.7998 0.4281 0.8223  2 N 2.55-2.81
Ba 0.7998 0.8717 0.9775  2 N 2.55-2.81
Ba 0.8223 0.5225 0.3942  2 N 2.55-2.81
Ba 0.8223 0.7998 0.4281  2 N 2.55-2.81
Ba 0.8717 0.3942 0.0719  2 N 2.55-2.81
Ba 0.8717 0.9775 0.7998  2 N 2.55-2.81
Ba 0.8942 0.0225 0.3223  2 N 2.55-2.81
Ba 0.8942 0.3717 0.5719  2 N 2.55-2.81
Ba 0.9281 0.1283 0.6058  2 N 2.55-2.81
Ba 0.9281 0.2998 0.3223  2 N 2.55-2.81
Ba 0.9775 0.6777 0.1058  2 N 2.55-2.81
Ba 0.9775 0.7998 0.8717  2 N 2.55-2.81
N 0.0000 0.0000 0.0000  6 Ba 2.81
N 0.0000 0.0000 0.5000  6 Ba 2.81
N 0.0000 0.5000 0.0000  6 Ba 2.81
N 0.0000 0.5000 0.5000  6 Ba 2.81
N 0.1250 0.7500 0.8750  4 Ba 2.55
N 0.1250 0.8750 0.2500  4 Ba 2.55
N 0.2500 0.1250 0.8750  4 Ba 2.55
N 0.2500 0.6250 0.3750  4 Ba 2.55
N 0.3750 0.2500 0.6250  4 Ba 2.55
N 0.3750 0.6250 0.7500  4 Ba 2.55
N 0.5000 0.0000 0.0000  6 Ba 2.81
N 0.5000 0.0000 0.5000  6 Ba 2.81
N 0.5000 0.5000 0.0000  6 Ba 2.81
N 0.5000 0.5000 0.5000  6 Ba 2.81
N 0.6250 0.3750 0.2500  4 Ba 2.55
N 0.6250 0.7500 0.3750  4 Ba 2.55
N 0.7500 0.3750 0.6250  4 Ba 2.55
N 0.7500 0.8750 0.1250  4 Ba 2.55
N 0.8750 0.1250 0.7500  4 Ba 2.55
N 0.8750 0.2500 0.1250  4 Ba 2.55
F 0.1250 0.2500 0.3750  8 Ba 3.20-3.58
F 0.1250 0.3750 0.7500  8 Ba 3.20-3.58
F 0.2500 0.3750 0.1250  8 Ba 3.20-3.58
F 0.2500 0.8750 0.6250  8 Ba 3.20-3.58
F 0.3750 0.1250 0.2500  8 Ba 3.20-3.58
F 0.3750 0.7500 0.1250  8 Ba 3.20-3.58
F 0.6250 0.2500 0.8750  8 Ba 3.20-3.58
F 0.6250 0.8750 0.7500  8 Ba 3.20-3.58
F 0.7500 0.1250 0.3750  8 Ba 3.20-3.58
F 0.7500 0.6250 0.8750  8 Ba 3.20-3.58
F 0.8750 0.6250 0.2500  8 Ba 3.20-3.58
F 0.8750 0.7500 0.6250  8 Ba 3.20-3.58

## Properties
As for the energy relative to the elements, uncorrected: -0.84 eV/atom.

=====

Which of these has the highest energy relative to the elements, uncorrected? Ba12N5F3

=====

Number 2 is which compound? Ba12N5F3

=====

Which value of energy relative to the elements, uncorrected does entry 1 give? -3.10 eV/atom

=====

The highest energy relative to the elements, uncorrected belongs to which entry? Ba12N5F3